Entry 1:
An optimized crystal structure of NiOsS2, computed with PBE.

As for the crystal system: trigonal. The calculation puts the formation energy without anion corrections at 0.151 eV per atom. The offset from the most stable computed form comes out at 227 meV/atom.

abc: 7.413 7.413 7.413
angles: 24.04 24.04 24.04
Fractional positions:
Ni1 0.000 0.000 0.000
Os1 0.500 0.500 0.500
S1 0.397 0.397 0.397
S2 0.603 0.603 0.603

Entry 2:
An optimized crystal structure of LiPrDyPt, computed with PBE.

Its formation enthalpy at 0 K is -569 meV per atom. As for the crystal system: cubic.

abc: 5.091 5.091 5.091
angles: 60.00 60.00 60.00
Fractional positions:
Li1 0.000 0.000 0.000
Pr1 0.250 0.250 0.250
Dy1 0.750 0.750 0.750
Pt1 0.500 0.500 0.500

Entry 3:
An optimized crystal structure of MgBr, computed with PBE.

As for the crystal system: orthorhombic. The calculation puts the formation energy without anion corrections at -0.501 eV per atom.

abc: 3.852 3.852 4.333
angles: 90.00 90.00 121.22
Fractional positions:
Mg1 0.000 0.000 0.000
Br1 0.500 0.500 0.500